(1)
## Cr2SiOs (GGA-PBEsol)

Data for Cr2SiOs after structural relaxation.

Unit cell a=2.7221 b=4.0467 c=4.4495 alpha=90.00 beta=90.00 gamma=90.00
Positions (direct):
Cr: 0.0000 0.0000 0.0000
Cr: 0.0000 0.5000 0.2830
Si: 0.5000 0.0000 0.4620
Os: 0.5000 0.5000 0.7813

Raw total energy in eV per atom: -9.739
Total magnetization in μB/f.u.: 0.00

(2)
## CaMoRu2 (GGA-PBEsol)

Data for CaMoRu2 after structural relaxation.

Unit cell a=9.1329 b=9.1329 c=9.1329 alpha=18.08 beta=18.08 gamma=18.08
Positions (direct):
Ca: 0.0000 0.0000 0.0000
Mo: 0.5000 0.5000 0.5000
Ru: 0.2425 0.2425 0.2425
Ru: 0.7575 0.7575 0.7575

ΔH_f (0 K) in eV per atom: 0.4541
Total magnetization in μB/f.u.: 0.00
Energy above the most stable polymorph in this dataset in eV/atom: 0.000

(3)
## Ni2RhAu (GGA-PBEsol)

Data for Ni2RhAu after structural relaxation.

Unit cell a=4.6135 b=4.6135 c=4.6135 alpha=132.92 beta=132.92 gamma=68.78
Positions (direct):
Ni: 0.0000 0.0000 0.0000
Ni: 0.7500 0.2500 0.5000
Rh: 0.5000 0.5000 0.0000
Au: 0.2500 0.7500 0.5000

ΔH_f (0 K) in eV per atom: 0.1362
Total magnetization in μB/f.u.: 2.07

(4)
## Zn2Sb2Cl (GGA-PBEsol)

Data for Zn2Sb2Cl after structural relaxation.

Unit cell a=7.0984 b=7.0984 c=7.0984 alpha=145.05 beta=145.05 gamma=50.26
Positions (direct):
Zn: 0.0927 0.0927 0.0000
Zn: 0.9073 0.9073 0.0000
Sb: 0.2500 0.7500 0.5000
Sb: 0.7500 0.2500 0.5000
Cl: 0.5000 0.5000 0.0000

Raw total energy in eV per atom: -2.777
Total magnetization in μB/f.u.: 0.00

(5)
## Ga3NiTe (GGA-PBEsol)

Data for Ga3NiTe after structural relaxation.

Unit cell a=5.2238 b=5.2238 c=5.2238 alpha=90.00 beta=90.00 gamma=90.00
Positions (direct):
Ga: 0.0000 0.0000 0.5000
Ga: 0.0000 0.5000 0.0000
Ga: 0.5000 0.0000 0.0000
Ni: 0.5000 0.5000 0.5000
Te: 0.0000 0.0000 0.0000

Raw total energy in eV per atom: -2.681
Total magnetization in μB/f.u.: 0.53

(6)
## CoGe3Sb (GGA-PBEsol)

Data for CoGe3Sb after structural relaxation.

Unit cell a=4.5616 b=4.5616 c=4.5616 alpha=90.00 beta=90.00 gamma=90.00
Positions (direct):
Co: 0.0000 0.0000 0.0000
Ge: 0.0000 0.0000 0.5000
Ge: 0.0000 0.5000 0.0000
Ge: 0.5000 0.0000 0.0000
Sb: 0.5000 0.5000 0.5000

Raw total energy in eV per atom: -5.324
Total magnetization in μB/f.u.: 0.00

(7)
## BaMn2Be (GGA-PBEsol)

Data for BaMn2Be after structural relaxation.

Unit cell a=3.6366 b=3.8776 c=6.1257 alpha=90.00 beta=107.07 gamma=90.00
Positions (direct):
Ba: 0.0000 0.0000 0.0000
Mn: 0.2647 0.5000 0.5349
Mn: 0.7431 0.0000 0.4921
Be: 0.6537 0.5000 0.3103

ΔH_f (0 K) in eV per atom: 0.7711
Total magnetization in μB/f.u.: 6.29

(8)
## BeAs2SeF (GGA-PBEsol)

Data for BeAs2SeF after structural relaxation.

Unit cell a=4.3837 b=4.3837 c=4.3504 alpha=90.00 beta=90.00 gamma=90.00
Positions (direct):
Be: 0.0000 0.0000 0.0000
As: 0.0000 0.5000 0.0000
As: 0.5000 0.0000 0.0000
Se: 0.0000 0.0000 0.5000
F: 0.5000 0.5000 0.5000

Total magnetization in μB/f.u.: 0.00
Energy above the most stable polymorph in this dataset in eV/atom: 0.000

total magnetization of number 4 (Zn2Sb2Cl)?
0.00 μB/f.u.

Copy entry 1 word for word.
## Cr2SiOs (GGA-PBEsol)

Data for Cr2SiOs after structural relaxation.

Unit cell a=2.7221 b=4.0467 c=4.4495 alpha=90.00 beta=90.00 gamma=90.00
Positions (direct):
Cr: 0.0000 0.0000 0.0000
Cr: 0.0000 0.5000 0.2830
Si: 0.5000 0.0000 0.4620
Os: 0.5000 0.5000 0.7813

Raw total energy in eV per atom: -9.739
Total magnetization in μB/f.u.: 0.00

The highest total magnetization belongs to which entry?
BaMn2Be